Record 1
PBE NdDyC2, relaxed; space-group type = R-3m; energy of formation from the pure elements = 18.52 kJ per mole of atoms; total moment = 0.000 μB/cell; calculated volume = 17.74 Å³ per atom
1.0
3.692 0.000 0.000
1.846 3.198 0.000
1.846 1.066 6.011
C Nd Dy
2 1 1
Direct
0.254 0.254 0.237
0.746 0.746 0.763
0.500 0.500 0.500
0.000 0.000 0.000

***

Record 2
PBE Nd2Dy4C, relaxed; space-group type = R-3m; energy of formation from the pure elements = -10.82 kJ per mole of atoms; total moment = 0.000 μB/cell; calculated volume = 28.98 Å³ per atom
1.0
3.564 0.000 0.509
1.746 3.107 0.509
-0.775 -0.454 18.173
C Nd Dy
1 2 4
Direct
0.000 0.000 0.000
0.245 0.245 0.264
0.755 0.755 0.736
0.140 0.140 0.579
0.860 0.860 0.421
0.358 0.358 0.925
0.642 0.642 0.075

***

Record 3
PBE NdDy3C8, relaxed; space-group type = Fmm2; energy of formation from the pure elements = 12.34 kJ per mole of atoms; total moment = 0.000 μB/cell; calculated volume = 15.64 Å³ per atom
1.0
-5.552 -0.427 2.899
2.753 -5.547 -1.128
1.675 -3.139 5.172
Nd Dy C
1 3 8
Direct
0.000 0.000 0.000
0.747 0.500 0.753
0.247 0.500 0.253
0.500 0.000 0.500
0.091 0.000 0.569
0.571 0.661 0.429
0.910 0.339 0.090
0.431 0.000 0.909
0.881 0.000 0.599
0.602 0.483 0.398
0.120 0.517 0.880
0.401 0.000 0.119

***

Record 4
PBE NdDy2C, relaxed; space-group type = R3m; energy of formation from the pure elements = -16.74 kJ per mole of atoms; total moment = 0.227 μB/cell; calculated volume = 25.98 Å³ per atom
1.0
-3.319 -1.259 -0.564
1.982 -1.304 2.700
-1.882 7.785 5.141
Nd Dy C
1 2 1
Direct
0.669 0.834 0.504
0.763 0.382 0.145
0.235 0.618 0.853
0.999 0.999 0.998